Entry 1:
VASP calculation (PBE-GGA) on a geometry-optimized PmScGaPb structure.

Lattice parameters (Å, degrees): 5.212 5.212 5.212 60.00 60.00 60.00
Sites, in units of the cell vectors:
Ga (0.000, 0.000, 0.000)
Pm (0.250, 0.250, 0.250)
Pb (0.500, 0.500, 0.500)
Sc (0.750, 0.750, 0.750)

Output
The total magnetization comes out at 0.00 μB/f.u. As for the energy: -4.84 eV/atom.

=====

Entry 2:
VASP calculation (PBE-GGA) on a geometry-optimized ZrTi2As2 structure.

Lattice parameters (Å, degrees): 6.596 6.596 5.204 109.20 109.20 99.70
Sites, in units of the cell vectors:
Ti (0.417, 0.724, 0.015)
Ti (0.776, 0.083, 0.485)
Ti (0.583, 0.276, 0.985)
As (0.184, 0.316, 0.750)
Ti (0.224, 0.917, 0.515)
As (0.816, 0.684, 0.250)
Zr (0.102, 0.398, 0.250)
As (0.378, 0.122, 0.250)
As (0.622, 0.878, 0.750)
Zr (0.898, 0.602, 0.750)

Output
The total magnetization comes out at 0.00 μB/f.u. As for the energy: -7.37 eV/atom.

=====

Entry 3:
VASP calculation (PBE-GGA) on a geometry-optimized Ag10PdAu6 structure.

Lattice parameters (Å, degrees): 5.684 7.997 7.997 120.00 90.00 90.00
Sites, in units of the cell vectors:
Au (0.342, 0.000, 0.338)
Au (0.342, 0.338, 0.000)
Au (0.342, 0.662, 0.662)
Ag (0.500, 0.667, 0.333)
Ag (0.846, 0.688, 0.688)
Au (0.658, 0.000, 0.662)
Ag (0.000, 0.333, 0.667)
Ag (0.154, 0.000, 0.688)
Ag (0.846, 0.312, 0.000)
Ag (0.846, 0.000, 0.312)
Au (0.658, 0.338, 0.338)
Ag (0.154, 0.312, 0.312)
Ag (0.500, 0.333, 0.667)
Pd (0.500, 0.000, 0.000)
Ag (0.154, 0.688, 0.000)
Ag (0.000, 0.667, 0.333)
Au (0.658, 0.662, 0.000)

Output
The total magnetization comes out at 0.00 μB/f.u. As for the energy: -3.11 eV/atom.

=====

Entry 4:
VASP calculation (PBE-GGA) on a geometry-optimized SrMg3Tl3 structure.

Lattice parameters (Å, degrees): 7.947 7.947 7.947 90.00 90.00 90.00
Sites, in units of the cell vectors:
Mg (0.250, 0.500, 0.000)
Mg (0.000, 0.250, 0.500)
Mg (0.000, 0.750, 0.500)
Tl (0.750, 0.000, 0.500)
Tl (0.250, 0.000, 0.500)
Tl (0.000, 0.500, 0.750)
Tl (0.500, 0.250, 0.000)
Mg (0.500, 0.000, 0.750)
Tl (0.500, 0.750, 0.000)
Sr (0.500, 0.500, 0.500)
Mg (0.750, 0.500, 0.000)
Sr (0.000, 0.000, 0.000)
Mg (0.500, 0.000, 0.250)
Tl (0.000, 0.500, 0.250)

Output
The total magnetization comes out at 0.00 μB/f.u. As for the energy: -1.76 eV/atom.

=====

Entry 5:
VASP calculation (PBE-GGA) on a geometry-optimized Pr3PdPb3 structure.

Lattice parameters (Å, degrees): 4.678 6.350 15.094 84.07 81.08 68.38
Sites, in units of the cell vectors:
Pb (0.856, 0.748, 0.541)
Pr (0.597, 0.729, 0.078)
Pb (0.144, 0.252, 0.459)
Pr (0.470, 0.677, 0.383)
Pd (0.234, 0.916, 0.616)
Pr (0.403, 0.271, 0.922)
Pd (0.766, 0.084, 0.384)
Pr (0.530, 0.323, 0.617)
Pb (0.019, 0.197, 0.766)
Pr (0.264, 0.236, 0.235)
Pb (0.868, 0.187, 0.077)
Pb (0.132, 0.813, 0.923)
Pr (0.736, 0.764, 0.765)
Pb (0.981, 0.803, 0.234)

Output
The total magnetization comes out at 0.00 μB/f.u. As for the energy: -4.99 eV/atom.

=====

Entry 6:
VASP calculation (PBE-GGA) on a geometry-optimized AcLa4Tb2Er structure.

Lattice parameters (Å, degrees): 5.253 6.379 9.813 89.16 74.48 65.69
Sites, in units of the cell vectors:
La (0.626, 0.625, 0.122)
Tb (0.743, 0.758, 0.756)
La (0.878, 0.876, 0.368)
Er (0.000, 0.000, 0.000)
La (0.374, 0.375, 0.878)
La (0.122, 0.124, 0.632)
Tb (0.257, 0.242, 0.244)
Ac (0.500, 0.500, 0.500)

Output
The total magnetization comes out at 0.00 μB/f.u. As for the energy: -4.67 eV/atom.

=====

Entry 7:
VASP calculation (PBE-GGA) on a geometry-optimized Pr2H6IrPd structure.

Lattice parameters (Å, degrees): 5.405 5.405 5.362 59.98 59.98 90.48
Sites, in units of the cell vectors:
Pd (0.000, 0.000, 0.000)
Pr (0.250, 0.750, 0.500)
H (0.734, 0.734, 0.001)
H (0.733, 0.267, 0.000)
Pr (0.750, 0.250, 0.500)
H (0.735, 0.735, 0.529)
H (0.265, 0.265, 0.471)
Ir (0.500, 0.500, 0.000)
H (0.267, 0.733, 0.000)
H (0.266, 0.266, 0.999)

Output
The total magnetization comes out at 0.00 μB/f.u. As for the energy: -4.89 eV/atom.

=====

Entry 8:
VASP calculation (PBE-GGA) on a geometry-optimized La4BiSb2As structure.

Lattice parameters (Å, degrees): 4.581 7.936 7.951 70.60 90.00 90.00
Sites, in units of the cell vectors:
Sb (0.500, 0.000, 0.500)
La (0.500, 0.742, 0.262)
La (0.500, 0.258, 0.738)
La (0.000, 0.748, 0.741)
Sb (0.000, 0.000, 0.000)
Bi (0.500, 0.500, 0.000)
As (0.000, 0.500, 0.500)
La (0.000, 0.252, 0.259)

Output
The total magnetization comes out at 0.00 μB/f.u. As for the energy: -5.83 eV/atom. The formation energy from raw total energies comes out at -1.272 eV per atom.